The following is a DFT calculation (GGA+U) of a geometry-optimized MnCd2TeO6 structure.

Properties
final energy: -5.177 eV/atom
excess energy over the best structure of this formula in the dataset: 289 meV/atom
SG: P4mm (99)
V: 144.9 Å³/cell

a b c (Å): 4.9581 5.4053 5.4053
angles (deg): 90.00 90.00 90.00
Closest atoms and distances in Å follow each position.
Sites, in units of the cell vectors:
Mn 0.5585 0.5000 0.5000  5 O 1.99-2.14
Cd 0.0081 0.5000 0.0000  4 O 2.39
Cd 0.0081 0.0000 0.5000  4 O 2.39
Te 0.6058 0.0000 0.0000  5 O 1.88-1.92
O 0.7202 0.2400 0.2400  1 Te 1.92, 1 Mn 2.14
O 0.7202 0.2400 0.7600  1 Te 1.92, 1 Mn 2.14
O 0.1579 0.5000 0.5000  1 Mn 1.99
O 0.2276 0.0000 0.0000  1 Te 1.88
O 0.7202 0.7600 0.7600  1 Te 1.92, 1 Mn 2.14
O 0.7202 0.7600 0.2400  1 Te 1.92, 1 Mn 2.14